(1)
This record from Alexandria describes a geometry-optimized SrLi4Er structure. The functional is PBE.

Values from the calculation:
Size of the total moment (μB per formula unit): 0.0
Raw total energy (Ry/atom): -0.1609
ΔE_f (kJ/mol of formula units): 73.7

Lattice parameters (Å, degrees): 8.669 8.669 8.669 90.00 90.00 90.00
Space group F-43m (No. 216)
Symmetry-distinct sites (fractional):
Sr 0.000 0.000 0.000 (multiplicity 4)
Li 0.123 0.123 0.377 (multiplicity 16)
Er 0.250 0.250 0.750 (multiplicity 4)

(2)
This record from Alexandria describes a geometry-optimized SrLi2Er structure. The functional is PBE.

Values from the calculation:
Size of the total moment (μB per formula unit): 0.0
Raw total energy (Ry/atom): -0.1745
ΔE_f (kJ/mol of formula units): 55.6
Distance to the lowest polymorph of the same formula (eV/atom): 0.0000

Lattice parameters (Å, degrees): 3.880 3.880 8.052 90.00 90.00 90.00
Space group P4/mmm (No. 123)
Symmetry-distinct sites (fractional):
Sr 0.000 0.000 0.000 (multiplicity 1)
Li 0.500 0.500 0.283 (multiplicity 2)
Er 0.000 0.000 0.500 (multiplicity 1)

(3)
This record from Alexandria describes a geometry-optimized Sr2Li16Er structure. The functional is PBE.

Values from the calculation:
Size of the total moment (μB per formula unit): 0.0
Raw total energy (Ry/atom): -0.1456
ΔE_f (kJ/mol of formula units): 87.6

Lattice parameters (Å, degrees): 10.3440 10.3440 15.0912 90.00 90.00 120.00
Space group R3m (No. 160, hexagonal axes)
Symmetry-distinct sites (fractional):
Sr 0.0000 0.0000 0.0000 (multiplicity 3)
Sr 0.0000 0.0000 0.3064 (multiplicity 3)
Li 0.0000 0.0000 0.7606 (multiplicity 3)
Li 0.0002 0.5001 0.8083 (multiplicity 9)
Li 0.0074 0.5037 0.5023 (multiplicity 9)
Li 0.0405 0.3732 0.3235 (multiplicity 18)
Li 0.1716 0.3432 0.4874 (multiplicity 9)
Er 0.0000 0.0000 0.5587 (multiplicity 3)